The following is a PBE-GGA calculation of a geometry-optimized Na4PaO5 structure, from OQMD via LeMat-Bulk.

a b c (Å): 5.838 5.838 5.838
angles (deg): 99.24 99.24 132.76
Element x y z (fractional)
O: 0.731 0.085 0.816
O: 0.915 0.731 0.647
O: 0.269 0.915 0.184
O: 0.085 0.269 0.353
O: 0.500 0.500 0.000
Na: 0.406 0.192 0.598
Na: 0.192 0.594 0.787
Na: 0.808 0.406 0.213
Na: 0.594 0.808 0.402
Pa: 0.000 0.000 0.000

Calculated values
Raw total energy ... -5.91 eV per atom
Size of the total moment ... 1.000 μB per formula unit
Space-group type ... I4/m, No. 87

The following is a PBE-GGA calculation of a geometry-optimized NiBW2 structure, from OQMD via LeMat-Bulk.

a b c (Å): 4.198 4.198 4.198
angles (deg): 60.00 60.00 60.00
Element x y z (fractional)
W: 0.000 0.000 0.000
W: 0.750 0.750 0.750
Ni: 0.250 0.250 0.250
B: 0.500 0.500 0.500

Calculated values
Raw total energy ... -8.80 eV per atom
Size of the total moment ... 0.021 μB per formula unit
Space-group type ... F-43m, No. 216

The following is a PBE-GGA calculation of a geometry-optimized CdRePO structure, from OQMD via LeMat-Bulk.

a b c (Å): 2.994 7.149 5.781
angles (deg): 90.00 90.00 90.00
Element x y z (fractional)
Re: 0.500 0.501 0.623
Re: 0.500 0.499 0.123
Cd: 0.000 0.048 0.383
Cd: 0.000 0.952 0.883
O: 0.500 0.294 0.374
O: 0.500 0.706 0.874
P: 0.000 0.676 0.373
P: 0.000 0.324 0.873

Calculated values
Energy above the most stable polymorph in this dataset ... 0 meV/atom
Raw total energy ... -6.35 eV per atom
Size of the total moment ... 0.001 μB per formula unit
Space-group type ... Pmc2_1, No. 26

The following is a PBE-GGA calculation of a geometry-optimized NaAgIrSeS2 structure, from OQMD via LeMat-Bulk.

a b c (Å): 7.549 7.549 9.836
angles (deg): 90.00 90.00 152.67
Element x y z (fractional)
Se: 0.551 0.449 0.250
Se: 0.449 0.551 0.750
Ir: 0.500 0.500 0.000
Ir: 0.500 0.500 0.500
Na: 0.786 0.214 0.750
Na: 0.214 0.786 0.250
S: 0.110 0.890 0.989
S: 0.890 0.110 0.011
S: 0.890 0.110 0.489
S: 0.110 0.890 0.511
Ag: 0.882 0.118 0.250
Ag: 0.118 0.882 0.750

Calculated values
Raw total energy ... -4.40 eV per atom
Size of the total moment ... 0.115 μB per formula unit
Space-group type ... Cmcm, No. 63